No. 1
{
  "formula": "Y4Ho6Er",
  "functional": "PBE",
  "state": "optimized geometry",
  "lattice_angstrom": [[-3.263, 3.263, 8.520], [3.263, -3.263, 8.520], [3.263, 3.263, -8.520]],
  "species": ["Y", "Y", "Y", "Y", "Ho", "Ho", "Ho", "Ho", "Ho", "Ho", "Er"],
  "fractional_positions": [[0.139, 0.139, 0.626], [0.487, 0.861, 0.000], [0.513, 0.513, 0.374], [0.861, 0.487, 0.000], [0.000, 0.500, 0.500], [0.049, 0.692, 0.000], [0.308, 0.308, 0.357], [0.500, 0.000, 0.500], [0.692, 0.049, 0.000], [0.951, 0.951, 0.643], [0.500, 0.500, 0.000]],
  "dos_at_fermi_per_ev_fu": 14.27,
  "e_form_ev_per_atom": 0.296,
  "space_group": "I-42m",
  "relative_energy_mev_per_atom": 0
}

---

No. 2
{
  "formula": "Y7Ho2Er2",
  "functional": "PBE",
  "state": "optimized geometry",
  "lattice_angstrom": [[-2.754, 7.918, 4.071], [2.754, -7.918, 4.071], [2.754, 7.918, -4.071]],
  "species": ["Y", "Y", "Y", "Y", "Y", "Y", "Y", "Ho", "Ho", "Er", "Er"],
  "fractional_positions": [[0.000, 0.000, 0.000], [0.137, 0.298, 0.839], [0.146, 0.507, 0.639], [0.455, 0.092, 0.363], [0.459, 0.298, 0.161], [0.729, 0.092, 0.637], [0.868, 0.507, 0.361], [0.000, 0.799, 0.201], [0.598, 0.799, 0.799], [0.298, 0.798, 0.500], [0.588, 0.588, 0.000]],
  "dos_at_fermi_per_ev_fu": 18.30,
  "e_form_ev_per_atom": 0.115,
  "space_group": "Imm2",
  "relative_energy_mev_per_atom": 15
}

---

No. 3
{
  "formula": "Y6Ho3Er",
  "functional": "PBE",
  "state": "optimized geometry",
  "lattice_angstrom": [[5.477, -9.457, 0.000], [5.477, 9.457, 0.000], [0.000, 0.000, 6.234]],
  "species": ["Y", "Y", "Y", "Y", "Y", "Y", "Y", "Y", "Y", "Y", "Y", "Y", "Ho", "Ho", "Ho", "Ho", "Ho", "Ho", "Er", "Er"],
  "fractional_positions": [[0.047, 0.465, 0.948], [0.047, 0.953, 0.500], [0.280, 0.720, 0.244], [0.290, 0.381, 0.130], [0.381, 0.290, 0.630], [0.465, 0.047, 0.448], [0.535, 0.953, 0.948], [0.619, 0.710, 0.130], [0.710, 0.619, 0.630], [0.720, 0.280, 0.744], [0.953, 0.047, 0.000], [0.953, 0.535, 0.448], [0.061, 0.280, 0.545], [0.280, 0.061, 0.045], [0.389, 0.611, 0.663], [0.611, 0.389, 0.163], [0.720, 0.939, 0.545], [0.939, 0.720, 0.045], [0.206, 0.794, 0.740], [0.794, 0.206, 0.240]],
  "dos_at_fermi_per_ev_fu": 15.23,
  "e_form_ev_per_atom": 0.145,
  "space_group": "Cmc2_1",
  "relative_energy_mev_per_atom": 28
}

---

No. 4
{
  "formula": "Y4Ho5Er",
  "functional": "PBE",
  "state": "optimized geometry",
  "lattice_angstrom": [[-5.280, 5.280, 2.933], [5.280, -5.280, 2.933], [5.280, 5.280, -2.933]],
  "species": ["Y", "Y", "Y", "Y", "Ho", "Ho", "Ho", "Ho", "Ho", "Er"],
  "fractional_positions": [[0.000, 0.321, 0.321], [0.000, 0.679, 0.679], [0.321, 0.000, 0.321], [0.679, 0.000, 0.679], [0.237, 0.237, 0.000], [0.312, 0.312, 0.623], [0.312, 0.689, 0.000], [0.689, 0.312, 0.000], [0.689, 0.689, 0.377], [0.764, 0.764, 0.000]],
  "dos_at_fermi_per_ev_fu": 13.64,
  "e_form_ev_per_atom": 0.251,
  "space_group": "I4mm",
  "relative_energy_mev_per_atom": 194
}

---

No. 5
{
  "formula": "Y8Ho3Er3",
  "functional": "PBE",
  "state": "optimized geometry",
  "lattice_angstrom": [[-2.807, 5.376, 7.439], [2.807, -5.376, 7.439], [2.807, 5.376, -7.439]],
  "species": ["Y", "Y", "Y", "Y", "Y", "Y", "Y", "Y", "Ho", "Ho", "Ho", "Er", "Er", "Er"],
  "fractional_positions": [[0.055, 0.397, 0.659], [0.065, 0.222, 0.842], [0.262, 0.603, 0.659], [0.380, 0.222, 0.158], [0.620, 0.778, 0.842], [0.738, 0.397, 0.341], [0.935, 0.778, 0.158], [0.945, 0.603, 0.341], [0.320, 0.820, 0.500], [0.500, 0.500, 0.000], [0.680, 0.180, 0.500], [0.000, 0.000, 0.000], [0.298, 0.000, 0.298], [0.702, 0.000, 0.702]],
  "dos_at_fermi_per_ev_fu": 22.66,
  "e_form_ev_per_atom": 0.126,
  "space_group": "Immm"
}

---

No. 6
{
  "formula": "YHo6Er4",
  "functional": "PBE",
  "state": "optimized geometry",
  "lattice_angstrom": [[2.812, -4.795, 0.000], [2.812, 4.795, 0.000], [0.000, 0.000, 25.477]],
  "species": ["Y", "Y", "Ho", "Ho", "Ho", "Ho", "Ho", "Ho", "Ho", "Ho", "Ho", "Ho", "Ho", "Ho", "Er", "Er", "Er", "Er", "Er", "Er", "Er", "Er"],
  "fractional_positions": [[0.180, 0.820, 0.750], [0.820, 0.180, 0.250], [0.151, 0.849, 0.181], [0.151, 0.849, 0.319], [0.182, 0.818, 0.603], [0.182, 0.818, 0.897], [0.486, 0.514, 0.250], [0.500, 0.500, 0.000], [0.500, 0.500, 0.500], [0.514, 0.486, 0.750], [0.818, 0.182, 0.103], [0.818, 0.182, 0.397], [0.849, 0.151, 0.681], [0.849, 0.151, 0.819], [0.161, 0.839, 0.042], [0.161, 0.839, 0.458], [0.482, 0.518, 0.122], [0.482, 0.518, 0.378], [0.518, 0.482, 0.622], [0.518, 0.482, 0.878], [0.839, 0.161, 0.542], [0.839, 0.161, 0.958]],
  "dos_at_fermi_per_ev_fu": 19.53,
  "e_form_ev_per_atom": 0.128,
  "space_group": "Cmcm"
}

---

No. 7
{
  "formula": "Y4HoEr4",
  "functional": "PBE",
  "state": "optimized geometry",
  "lattice_angstrom": [[8.369, -2.746, 0.000], [8.369, 2.746, 0.000], [-2.568, 0.000, 6.216]],
  "species": ["Y", "Y", "Y", "Y", "Ho", "Er", "Er", "Er", "Er"],
  "fractional_positions": [[0.135, 0.135, 0.473], [0.279, 0.279, 0.203], [0.721, 0.721, 0.797], [0.865, 0.865, 0.527], [0.500, 0.500, 0.500], [0.072, 0.072, 0.887], [0.366, 0.366, 0.801], [0.634, 0.634, 0.199], [0.928, 0.928, 0.113]],
  "dos_at_fermi_per_ev_fu": 17.38,
  "e_form_ev_per_atom": 0.111,
  "space_group": "C2/m",
  "relative_energy_mev_per_atom": 85
}

---

No. 8
{
  "formula": "Y15Ho2Er2",
  "functional": "PBE",
  "state": "optimized geometry",
  "lattice_angstrom": [[5.584, 3.224, 5.928], [-5.584, 3.224, 5.928], [0.000, -6.448, 5.928]],
  "species": ["Y", "Y", "Y", "Y", "Y", "Y", "Y", "Y", "Y", "Y", "Y", "Y", "Y", "Y", "Y", "Ho", "Ho", "Er", "Er"],
  "fractional_positions": [[0.000, 0.000, 0.500], [0.000, 0.299, 0.701], [0.000, 0.500, 0.000], [0.000, 0.701, 0.299], [0.149, 0.628, 0.628], [0.299, 0.000, 0.701], [0.299, 0.701, 0.000], [0.372, 0.372, 0.851], [0.372, 0.851, 0.372], [0.500, 0.000, 0.000], [0.628, 0.149, 0.628], [0.628, 0.628, 0.149], [0.701, 0.000, 0.299], [0.701, 0.299, 0.000], [0.851, 0.372, 0.372], [0.319, 0.319, 0.319], [0.681, 0.681, 0.681], [0.096, 0.096, 0.096], [0.904, 0.904, 0.904]],
  "dos_at_fermi_per_ev_fu": 35.70,
  "e_form_ev_per_atom": 0.302,
  "space_group": "R-3m"
}